NbCdRh | PBE | relaxed

The value obtained for the formation energy is -0.32 eV per formula unit. The total energy comes out at -6.218 eV per atom. As for the crystal system: monoclinic. The calculation puts the density of states at the Fermi level at 0.502 states/eV per atom.

a b c (Å): 4.912 4.717 5.019
angles (deg): 90.00 116.64 90.00
Positions (direct):
Nb 0.049 0.250 0.224
Nb 0.951 0.750 0.776
Cd 0.363 0.250 0.856
Cd 0.637 0.750 0.144
Rh 0.304 0.750 0.479
Rh 0.696 0.250 0.521